A) The following is a DFT calculation (PBE) of a geometry-optimized AgBiAsF structure.

a b c (Å): 4.2033 4.2033 32.2304
angles (deg): 90.00 90.00 120.00
With the nearest neighbours (Å) after each atom.
Space group R-3m (No. 166, hexagonal axes)
Unique sites:
Ag (0.0000, 0.0000, 0.1905)  4 As 2.73-2.78, 3 Ag 2.87
Bi (0.0000, 0.0000, 0.3893)  4 F 2.61-2.65, 3 As 2.89
As (0.0000, 0.0000, 0.1044)  4 Ag 2.73-2.78, 3 Bi 2.89
F (0.0000, 0.0000, 0.3070)  4 Bi 2.61-2.65

B) The following is a DFT calculation (PBE) of a geometry-optimized AgBiAsF structure.

a b c (Å): 4.5183 4.5183 28.7400
angles (deg): 90.00 90.00 120.00
With the nearest neighbours (Å) after each atom.
Space group R-3m (No. 166, hexagonal axes)
Unique sites:
Ag (0.0000, 0.0000, 0.1182)  1 F 2.34
Bi (0.0000, 0.0000, 0.2919)  1 F 2.66, 3 As 2.81
As (0.0000, 0.0000, 0.4112)  3 Bi 2.81, 3 Ag 2.85, 3 F 3.06
F (0.0000, 0.0000, 0.1995)  1 Ag 2.34

C) The following is a DFT calculation (PBE) of a geometry-optimized AgBiAsF structure.

a b c (Å): 3.9643 3.9643 9.6720
angles (deg): 90.00 90.00 90.00
With the nearest neighbours (Å) after each atom.
Space group P4/nmm (No. 129, origin choice 2)
Unique sites:
Ag (0.2500, 0.7500, 0.0000)  4 Ag 2.80, 4 As 2.82
Bi (0.2500, 0.2500, 0.3281)  4 F 2.59
As (0.2500, 0.2500, 0.7933)  4 Ag 2.82, 4 Bi 3.04
F (0.2500, 0.7500, 0.5000)  4 Bi 2.59, 4 F 2.80

It comes down to A), which is 2.7 kJ/mol of atoms more stable than the next structure.

A) The following is a DFT calculation (PBE) of a geometry-optimized AgBiAsF structure.

a b c (Å): 3.7290 3.7290 11.0206
angles (deg): 90.00 90.00 90.00
With the nearest neighbours (Å) after each atom.
Space group P4/nmm (No. 129, origin choice 2)
Unique sites:
Ag (0.2500, 0.2500, 0.2027)  1 As 2.71
Bi (0.2500, 0.2500, 0.6589)  4 F 2.56
As (0.2500, 0.2500, 0.9565)  1 Ag 2.71, 4 As 2.81
F (0.2500, 0.7500, 0.5000)  4 Bi 2.56, 4 F 2.64

B) The following is a DFT calculation (PBE) of a geometry-optimized AgBiAsF structure.

a b c (Å): 6.4268 6.4417 7.5869
angles (deg): 90.00 90.00 90.00
With the nearest neighbours (Å) after each atom.
Space group Cmme (No. 67)
Unique sites:
Ag (0.0000, 0.2500, 0.1518)  4 F 2.55
Bi (0.2500, 0.0000, 0.5000)  4 As 2.96, 4 Bi 3.21-3.22
As (0.0000, 0.2500, 0.7500)  4 F 2.96, 4 Bi 2.96, 5 Ag 3.05-3.31
F (0.2500, 0.0000, 0.0000)  4 Ag 2.55

C) The following is a DFT calculation (PBE) of a geometry-optimized AgBiAsF structure.

a b c (Å): 9.2480 19.3367 3.9679
angles (deg): 90.00 90.00 90.00
With the nearest neighbours (Å) after each atom.
Space group Pbam (No. 55)
Unique sites:
Ag (0.0838, 0.0566, 0.0000)  2 F 2.45, 1 Ag 2.68, 1 As 2.71
Ag (0.1624, 0.6422, 0.0000)  2 As 2.54-2.57, 2 F 2.79
Bi (0.0669, 0.2495, 0.5000)  2 F 2.31-2.39
Bi (0.2301, 0.9308, 0.5000)  1 F 2.35
As (0.1402, 0.5100, 0.0000)  2 Ag 2.57-2.71, 1 As 2.62, 2 Bi 2.78
As (0.2272, 0.7700, 0.0000)  1 Ag 2.54, 2 Bi 2.78
F (0.0468, 0.3729, 0.5000)  2 Bi 2.35-2.39
F (0.0585, 0.1299, 0.5000)  1 Bi 2.31, 2 Ag 2.45

It comes down to C), which is 3.9 kJ/mol of atoms more stable than the next structure.

A) The following is a DFT calculation (PBE) of a geometry-optimized AgBiAsF structure.

a b c (Å): 6.1612 6.9882 7.6346
angles (deg): 90.00 90.00 90.00
With the nearest neighbours (Å) after each atom.
Space group P2_12_12_1 (No. 19)
Unique sites:
Ag (0.1210, 0.0465, 0.2947)  3 As 2.55-2.70
Bi (0.1055, 0.4588, 0.7825)  1 F 2.29
As (0.1570, 0.7895, 0.0600)  3 Ag 2.55-2.70, 1 Bi 2.84
F (0.1235, 0.6918, 0.5719)  1 Bi 2.29

B) The following is a DFT calculation (PBE) of a geometry-optimized AgBiAsF structure.

a b c (Å): 17.0507 3.9527 5.4669
angles (deg): 90.00 103.85 90.00
With the nearest neighbours (Å) after each atom.
Space group Cm (No. 8)
Unique sites:
Ag (0.0000, 0.0000, 0.0000)  4 F 2.54-2.55, 2 As 2.72-2.73, 2 Ag 2.73
Ag (0.0008, 0.0000, 0.5005)  2 As 2.62, 2 Ag 2.73, 4 F 2.78
Bi (0.1870, 0.5000, 0.7264)  1 F 2.26
Bi (0.3140, 0.0000, 0.2728)  1 F 2.26
As (0.1392, 0.0000, 0.3712)  2 Ag 2.62-2.73, 2 Bi 2.75
As (0.3618, 0.5000, 0.6277)  2 Ag 2.62-2.72, 2 Bi 2.75
F (0.0687, 0.5000, 0.8430)  1 Bi 2.26
F (0.4327, 0.0000, 0.1584)  1 Bi 2.26

It comes down to B), which is 0.7 kJ/mol of atoms more stable than the next structure.

A) The following is a DFT calculation (PBE) of a geometry-optimized AgBiAsF structure.

a b c (Å): 8.5011 17.2105 4.7360
angles (deg): 90.00 90.00 90.00
With the nearest neighbours (Å) after each atom.
Space group Pbam (No. 55)
Unique sites:
Ag (0.0479, 0.0927, 0.0000)  2 As 2.49
Ag (0.1047, 0.6335, 0.0000)  2 As 2.49, 1 F 2.78
Bi (0.2271, 0.2632, 0.5000)  2 F 2.37
Bi (0.2380, 0.4825, 0.5000)  2 F 2.38
As (0.0055, 0.8716, 0.5000)  2 Ag 2.49
As (0.0172, 0.6245, 0.5000)  2 Ag 2.49
F (0.2206, 0.4709, 0.0000)  2 Bi 2.38
F (0.2219, 0.2706, 0.0000)  2 Bi 2.37

B) The following is a DFT calculation (PBE) of a geometry-optimized AgBiAsF structure.

a b c (Å): 6.5277 6.9374 7.4653
angles (deg): 90.00 90.00 90.00
With the nearest neighbours (Å) after each atom.
Space group P2_12_12_1 (No. 19)
Unique sites:
Ag (0.2365, 0.0160, 0.1599)  2 As 2.56, 1 F 2.69
Bi (0.2200, 0.5272, 0.7730)  2 F 2.34-2.35
As (0.0743, 0.8097, 0.4066)  2 Ag 2.56
F (0.1435, 0.3263, 0.5285)  2 Bi 2.34-2.35

It comes down to A), which is 3.0 kJ/mol of atoms more stable than the next structure.